Entry 1:
A plane-wave DFT calculation with GGA-PBE was carried out for CeTmCuAu after structural relaxation.

Unit cell a=5.047 b=5.047 c=5.047 alpha=60.00 beta=60.00 gamma=60.00
Site moments in Bohr magnetons follow the coordinates.
Sites, in units of the cell vectors:
Tm  0.500  0.500  0.500  0.03
Cu  0.250  0.250  0.250  0.00
Au  0.750  0.750  0.750  0.00
Ce  0.000  0.000  0.000  0.56

Results
DOS at the Fermi energy = 1.918 states/eV per atom
Spin magnetization = 0.67 μB/f.u.
Formation enthalpy at 0 K = -40.70 kJ/mol of atoms

=====

Entry 2:
A plane-wave DFT calculation with GGA-PBE was carried out for Er2PtPb after structural relaxation.

Unit cell a=4.007 b=4.005 c=7.957 alpha=90.03 beta=89.97 gamma=120.05
Sites, in units of the cell vectors:
Pt  0.000  0.500  0.000
Er  0.333  0.167  0.197
Er  0.667  0.833  0.803
Pb  0.000  0.500  0.500

Results
DOS at the Fermi energy = 0.594 states/eV per atom
Spin magnetization = 0.00 μB/f.u.
Formation enthalpy at 0 K = -73.80 kJ/mol of atoms

=====

Entry 3:
A plane-wave DFT calculation with GGA-PBE was carried out for Ce2YTm3S6 after structural relaxation.

Unit cell a=3.889 b=7.898 c=8.784 alpha=103.81 beta=102.79 gamma=90.00
Site moments in Bohr magnetons follow the coordinates.
Sites, in units of the cell vectors:
Tm  0.167  0.832  0.335  0.01
Tm  0.833  0.168  0.665  0.01
Tm  0.500  0.500  0.000  0.01
S  0.662  0.593  0.324  -0.01
S  0.996  0.253  0.993  0.00
S  0.668  0.072  0.335  -0.01
S  0.332  0.928  0.665  -0.01
S  0.338  0.407  0.676  -0.01
S  0.004  0.747  0.007  0.00
Ce  0.168  0.336  0.335  0.69
Ce  0.832  0.664  0.665  0.69
Y  0.500  0.000  0.000  0.03

Results
DOS at the Fermi energy = 1.051 states/eV per atom
ΔE_f (raw) = -1.990 eV/atom
Spin magnetization = 1.80 μB/f.u.